# Nb2CdIn2 (PBE, relaxed)
data_Nb2CdIn2
_symmetry_space_group_name_H-M 'P 4/m b m'
_symmetry_Int_Tables_number 127
_symmetry_space_group_name_Hall '-P 4 2ab'
_cell_length_a 7.3611
_cell_length_b 7.3611
_cell_length_c 3.8702
_cell_angle_alpha 90.00
_cell_angle_beta 90.00
_cell_angle_gamma 90.00
loop_
_atom_site_label
_atom_site_fract_x
_atom_site_fract_y
_atom_site_fract_z
Nb1 0.1628 0.3372 0.0000
Cd1 0.0000 0.0000 0.5000
In1 0.1363 0.6363 0.5000
# Total energy in eV/atom: -4.9114
# E above lowest polymorph in meV per atom: 161.4



# Er12TmCo5 (PBE, relaxed)
data_Er12TmCo5
_symmetry_space_group_name_H-M 'I m m m'
_symmetry_Int_Tables_number 71
_symmetry_space_group_name_Hall '-I 2 2'
_cell_length_a 9.3456
_cell_length_b 9.4094
_cell_length_c 9.9063
_cell_angle_alpha 90.00
_cell_angle_beta 90.00
_cell_angle_gamma 90.00
loop_
_atom_site_label
_atom_site_fract_x
_atom_site_fract_y
_atom_site_fract_z
Er1 0.0000 0.1912 0.2041
Er2 0.1883 0.5000 0.1855
Er3 0.2098 0.3176 0.5000
Tm1 0.0000 0.0000 0.5000
Co1 0.0000 0.0000 0.0000
Co2 0.0000 0.3734 0.0000
Co3 0.0000 0.5000 0.3872
# Total energy in eV/atom: -5.4084



> Among the records above, which one has the lowest total energy?

Er12TmCo5



> What is the total energy in the first record?

-4.9114 eV/atom



> The highest total energy belongs to which entry?

Nb2CdIn2



> Which formula does entry 2 have?

Er12TmCo5